! LiTbAlTc PBE optimized geometry; values from VASP
&SYSTEM
  ibrav = 0, nat = 16, ntyp = 4
/
ATOMIC_SPECIES
Li 6.94 Li.upf
Tb 158.93 Tb.upf
Al 26.98 Al.upf
Tc 98.00 Tc.upf
ATOMIC_POSITIONS angstrom
Li 0.000 0.000 0.000
Li 0.000 3.283 3.283
Li 3.283 0.000 3.283
Li 3.283 3.283 0.000
Tb 1.642 1.642 4.925
Tb 1.642 4.925 1.642
Tb 4.925 1.642 1.642
Tb 4.925 4.925 4.925
Al 1.642 1.642 1.642
Al 1.642 4.925 4.925
Al 4.925 1.642 4.925
Al 4.925 4.925 1.642
Tc 0.000 0.000 3.283
Tc 0.000 3.283 0.000
Tc 3.283 0.000 0.000
Tc 3.283 3.283 3.283
CELL_PARAMETERS angstrom
6.567 0.000 0.000
0.000 6.567 0.000
0.000 0.000 6.567
! **D(E_F)**: 1.7 states/eV/f.u.
! **Formation enthalpy at 0 K**: -0.06 eV/atom
! **DFT total energy**: -5.225 eV/atom
! **Volume**: 283.20 Å³/cell
! **Crystal system**: cubic

! Li2TbAlTe4 PBE optimized geometry; values from VASP
&SYSTEM
  ibrav = 0, nat = 16, ntyp = 4
/
ATOMIC_SPECIES
Li 6.94 Li.upf
Tb 158.93 Tb.upf
Al 26.98 Al.upf
Te 127.60 Te.upf
ATOMIC_POSITIONS angstrom
Li 0.000 0.000 0.000
Li -2.073 2.171 3.005
Li 0.000 4.342 0.000
Li 2.073 2.171 3.005
Tb 4.145 0.000 0.000
Tb 0.000 0.000 6.010
Al 2.073 2.171 -3.005
Al 2.073 -2.171 3.005
Te 4.145 4.110 -3.081
Te 4.145 -0.232 3.081
Te 1.991 2.171 -0.017
Te 2.155 -2.171 5.993
Te 1.991 6.513 0.017
Te 2.155 2.171 6.027
Te 0.000 4.573 2.929
Te 0.000 0.232 9.091
CELL_PARAMETERS angstrom
-4.145 4.342 6.010
4.145 -4.342 6.010
4.145 4.342 -6.010
! **D(E_F)**: 0.7 states/eV/f.u.
! **Formation energy from raw total energies**: -0.906 eV/atom
! **DFT total energy**: -4.002 eV/atom
! **Volume**: 432.69 Å³/cell
! **Crystal system**: orthorhombic

! LiTbThAl PBE optimized geometry; values from VASP
&SYSTEM
  ibrav = 0, nat = 16, ntyp = 4
/
ATOMIC_SPECIES
Li 6.94 Li.upf
Tb 158.93 Tb.upf
Th 232.04 Th.upf
Al 26.98 Al.upf
ATOMIC_POSITIONS angstrom
Li 0.000 0.000 0.000
Li 0.000 3.677 3.677
Li 3.677 0.000 3.677
Li 3.677 3.677 0.000
Tb 1.839 1.839 5.516
Tb 1.839 5.516 1.839
Tb 5.516 1.839 1.839
Tb 5.516 5.516 5.516
Th 1.839 1.839 1.839
Th 1.839 5.516 5.516
Th 5.516 1.839 5.516
Th 5.516 5.516 1.839
Al 0.000 0.000 3.677
Al 0.000 3.677 0.000
Al 3.677 0.000 0.000
Al 3.677 3.677 3.677
CELL_PARAMETERS angstrom
7.355 0.000 0.000
0.000 7.355 0.000
0.000 0.000 7.355
! **D(E_F)**: 3.1 states/eV/f.u.
! **Formation enthalpy at 0 K**: -0.12 eV/atom
! **DFT total energy**: -4.547 eV/atom
! **Volume**: 397.83 Å³/cell
! **Crystal system**: cubic

! LiTbYAl PBE optimized geometry; values from VASP
&SYSTEM
  ibrav = 0, nat = 16, ntyp = 4
/
ATOMIC_SPECIES
Li 6.94 Li.upf
Tb 158.93 Tb.upf
Y 88.91 Y.upf
Al 26.98 Al.upf
ATOMIC_POSITIONS angstrom
Li 0.000 0.000 0.000
Li 0.000 3.656 3.656
Li 3.656 0.000 3.656
Li 3.656 3.656 0.000
Tb 1.828 1.828 1.828
Tb 1.828 5.484 5.484
Tb 5.484 1.828 5.484
Tb 5.484 5.484 1.828
Y 1.828 1.828 5.484
Y 1.828 5.484 1.828
Y 5.484 1.828 1.828
Y 5.484 5.484 5.484
Al 0.000 0.000 3.656
Al 0.000 3.656 0.000
Al 3.656 0.000 0.000
Al 3.656 3.656 3.656
CELL_PARAMETERS angstrom
7.312 0.000 0.000
0.000 7.312 0.000
0.000 0.000 7.312
! **D(E_F)**: 4.0 states/eV/f.u.
! **Formation enthalpy at 0 K**: -0.23 eV/atom
! **DFT total energy**: -4.414 eV/atom
! **Volume**: 390.87 Å³/cell
! **Crystal system**: cubic

! LiTb4Al2Zn PBE optimized geometry; values from VASP
&SYSTEM
  ibrav = 0, nat = 8, ntyp = 4
/
ATOMIC_SPECIES
Li 6.94 Li.upf
Tb 158.93 Tb.upf
Al 26.98 Al.upf
Zn 65.41 Zn.upf
ATOMIC_POSITIONS angstrom
Li 0.000 0.000 0.000
Tb 0.000 0.000 3.214
Tb 0.000 0.000 9.515
Tb 0.000 0.000 15.657
Tb 0.000 0.000 21.958
Al 0.000 0.000 6.374
Al 0.000 0.000 18.799
Zn 0.000 0.000 12.586
CELL_PARAMETERS angstrom
2.572 1.485 8.391
-2.572 1.485 8.391
0.000 -2.970 8.391
! **D(E_F)**: 6.7 states/eV/f.u.
! **Formation enthalpy at 0 K**: -0.31 eV/atom
! **DFT total energy**: -3.955 eV/atom
! **Volume**: 192.26 Å³/cell
! **Crystal system**: trigonal

! LiTb4AlZn2 PBE optimized geometry; values from VASP
&SYSTEM
  ibrav = 0, nat = 8, ntyp = 4
/
ATOMIC_SPECIES
Li 6.94 Li.upf
Tb 158.93 Tb.upf
Al 26.98 Al.upf
Zn 65.41 Zn.upf
ATOMIC_POSITIONS angstrom
Li 0.000 0.000 0.000
Tb 0.000 0.000 3.186
Tb 0.000 0.000 9.493
Tb 0.000 0.000 15.695
Tb 0.000 0.000 22.002
Al 0.000 0.000 12.594
Zn 0.000 0.000 6.360
Zn 0.000 0.000 18.827
CELL_PARAMETERS angstrom
2.553 1.474 8.396
-2.553 1.474 8.396
0.000 -2.948 8.396
! **D(E_F)**: 8.4 states/eV/f.u.
! **Formation enthalpy at 0 K**: -0.25 eV/atom
! **DFT total energy**: -3.590 eV/atom
! **Volume**: 189.52 Å³/cell
! **Crystal system**: trigonal

! LiTb2Al3Zn4 PBE optimized geometry; values from VASP
&SYSTEM
  ibrav = 0, nat = 10, ntyp = 4
/
ATOMIC_SPECIES
Li 6.94 Li.upf
Tb 158.93 Tb.upf
Al 26.98 Al.upf
Zn 65.41 Zn.upf
ATOMIC_POSITIONS angstrom
Li 0.000 0.000 0.000
Tb 0.000 2.121 7.814
Tb 2.121 0.000 2.680
Al 0.000 2.121 3.802
Al 2.121 0.000 6.692
Al 2.121 2.121 0.000
Zn 0.000 0.000 5.247
Zn 0.000 2.121 1.368
Zn 2.121 0.000 9.125
Zn 2.121 2.121 5.247
CELL_PARAMETERS angstrom
4.242 0.000 0.000
0.000 4.242 0.000
0.000 0.000 10.494
! **D(E_F)**: 6.6 states/eV/f.u.
! **Formation enthalpy at 0 K**: -0.32 eV/atom
! **DFT total energy**: -3.069 eV/atom
! **Volume**: 188.84 Å³/cell
! **Crystal system**: tetragonal

! LiTbAlZn2 PBE optimized geometry; values from VASP
&SYSTEM
  ibrav = 0, nat = 10, ntyp = 4
/
ATOMIC_SPECIES
Li 6.94 Li.upf
Tb 158.93 Tb.upf
Al 26.98 Al.upf
Zn 65.41 Zn.upf
ATOMIC_POSITIONS angstrom
Li 0.000 0.000 0.000
Li 2.050 2.050 5.621
Tb 0.000 2.050 2.810
Tb 2.050 0.000 8.431
Al 0.000 0.000 5.621
Al 2.050 2.050 0.000
Zn 0.000 2.050 7.194
Zn 0.000 2.050 9.669
Zn 2.050 0.000 1.573
Zn 2.050 0.000 4.048
CELL_PARAMETERS angstrom
4.101 0.000 0.000
0.000 4.101 0.000
0.000 0.000 11.242
! **D(E_F)**: 2.9 states/eV/f.u.
! **Formation enthalpy at 0 K**: -0.28 eV/atom
! **DFT total energy**: -2.850 eV/atom
! **Volume**: 189.06 Å³/cell
! **Crystal system**: tetragonal

! LiTbZrAl PBE optimized geometry; values from VASP
&SYSTEM
  ibrav = 0, nat = 16, ntyp = 4
/
ATOMIC_SPECIES
Li 6.94 Li.upf
Tb 158.93 Tb.upf
Zr 91.22 Zr.upf
Al 26.98 Al.upf
ATOMIC_POSITIONS angstrom
Li 0.000 0.000 0.000
Li 0.000 3.505 3.505
Li 3.505 0.000 3.505
Li 3.505 3.505 0.000
Tb 1.753 1.753 1.753
Tb 1.753 5.258 5.258
Tb 5.258 1.753 5.258
Tb 5.258 5.258 1.753
Zr 1.753 1.753 5.258
Zr 1.753 5.258 1.753
Zr 5.258 1.753 1.753
Zr 5.258 5.258 5.258
Al 0.000 0.000 3.505
Al 0.000 3.505 0.000
Al 3.505 0.000 0.000
Al 3.505 3.505 3.505
CELL_PARAMETERS angstrom
7.010 0.000 0.000
0.000 7.010 0.000
0.000 0.000 7.010
! **D(E_F)**: 3.0 states/eV/f.u.
! **Formation enthalpy at 0 K**: -0.13 eV/atom
! **DFT total energy**: -4.838 eV/atom
! **Volume**: 344.52 Å³/cell
! **Crystal system**: cubic

! LiAlTc PBE optimized geometry; values from VASP
&SYSTEM
  ibrav = 0, nat = 6, ntyp = 3
/
ATOMIC_SPECIES
Li 6.94 Li.upf
Al 26.98 Al.upf
Tc 98.00 Tc.upf
ATOMIC_POSITIONS angstrom
Li 0.751 0.751 0.883
Li 2.254 2.254 9.008
Al 0.751 0.751 7.295
Al 2.254 2.254 2.596
Tc 0.751 0.751 4.160
Tc 2.254 2.254 5.731
CELL_PARAMETERS angstrom
3.006 0.000 0.000
0.000 3.006 0.000
0.000 0.000 9.891
! **D(E_F)**: 1.7 states/eV/f.u.
! **Formation enthalpy at 0 K**: -0.25 eV/atom
! **DFT total energy**: -5.590 eV/atom
! **Volume**: 89.35 Å³/cell
! **Crystal system**: tetragonal
! **Excess energy over the best structure of this formula in the dataset**: 0.0000 eV per atom

! Li2AlTc2 PBE optimized geometry; values from VASP
&SYSTEM
  ibrav = 0, nat = 10, ntyp = 3
/
ATOMIC_SPECIES
Li 6.94 Li.upf
Al 26.98 Al.upf
Tc 98.00 Tc.upf
ATOMIC_POSITIONS angstrom
Li 0.000 2.279 1.848
Li 0.000 2.279 5.543
Li 2.279 0.000 1.848
Li 2.279 0.000 5.543
Al 0.000 0.000 0.000
Al 2.279 2.279 3.695
Tc 0.000 0.000 2.574
Tc 0.000 0.000 4.817
Tc 2.279 2.279 1.121
Tc 2.279 2.279 6.269
CELL_PARAMETERS angstrom
4.559 0.000 0.000
0.000 4.559 0.000
0.000 0.000 7.391
! **D(E_F)**: 3.2 states/eV/f.u.
! **Formation enthalpy at 0 K**: 0.74 eV/atom
! **DFT total energy**: -4.918 eV/atom
! **Volume**: 153.61 Å³/cell
! **Crystal system**: tetragonal
! **Excess energy over the best structure of this formula in the dataset**: 0.4041 eV per atom

! LiAlTc2 PBE optimized geometry; values from VASP
&SYSTEM
  ibrav = 0, nat = 4, ntyp = 3
/
ATOMIC_SPECIES
Li 6.94 Li.upf
Al 26.98 Al.upf
Tc 98.00 Tc.upf
ATOMIC_POSITIONS angstrom
Li 0.000 0.000 0.000
Al 0.712 0.000 2.516
Tc -0.255 2.134 3.799
Tc 1.679 2.134 1.232
CELL_PARAMETERS angstrom
2.613 0.000 0.000
0.000 4.268 0.000
-1.189 0.000 5.032
! **D(E_F)**: 2.7 states/eV/f.u.
! **Formation enthalpy at 0 K**: 0.00 eV/atom
! **DFT total energy**: -6.595 eV/atom
! **Volume**: 56.11 Å³/cell
! **Crystal system**: monoclinic

! LiAlTc2 PBE optimized geometry; values from VASP
&SYSTEM
  ibrav = 0, nat = 8, ntyp = 3
/
ATOMIC_SPECIES
Li 6.94 Li.upf
Al 26.98 Al.upf
Tc 98.00 Tc.upf
ATOMIC_POSITIONS angstrom
Li 0.000 0.000 0.000
Li 1.566 2.089 4.278
Al 0.000 0.000 4.278
Al 1.566 2.089 0.000
Tc 0.000 2.089 2.139
Tc 0.000 2.089 6.417
Tc 1.566 0.000 2.139
Tc 1.566 0.000 6.417
CELL_PARAMETERS angstrom
3.132 0.000 0.000
0.000 4.178 0.000
0.000 0.000 8.556
! **D(E_F)**: 2.7 states/eV/f.u.
! **Formation enthalpy at 0 K**: -0.02 eV/atom
! **DFT total energy**: -6.620 eV/atom
! **Volume**: 111.96 Å³/cell
! **Crystal system**: orthorhombic

! LiAlTc PBE optimized geometry; values from VASP
&SYSTEM
  ibrav = 0, nat = 12, ntyp = 3
/
ATOMIC_SPECIES
Li 6.94 Li.upf
Al 26.98 Al.upf
Tc 98.00 Tc.upf
ATOMIC_POSITIONS angstrom
Li 0.000 0.000 0.000
Li 0.000 2.187 6.704
Li 1.524 0.000 6.704
Li 1.524 2.187 0.000
Al 0.000 0.000 4.386
Al 0.000 2.187 11.090
Al 1.524 0.000 11.090
Al 1.524 2.187 4.386
Tc 0.000 0.000 8.973
Tc 0.000 2.187 2.269
Tc 1.524 0.000 2.269
Tc 1.524 2.187 8.973
CELL_PARAMETERS angstrom
3.047 0.000 0.000
0.000 4.373 0.000
0.000 0.000 13.408
! **D(E_F)**: 1.7 states/eV/f.u.
! **Formation enthalpy at 0 K**: 0.02 eV/atom
! **DFT total energy**: -5.324 eV/atom
! **Volume**: 178.70 Å³/cell
! **Crystal system**: orthorhombic
! **Excess energy over the best structure of this formula in the dataset**: 0.2659 eV per atom

! LiAlTc2 PBE optimized geometry; values from VASP
&SYSTEM
  ibrav = 0, nat = 8, ntyp = 3
/
ATOMIC_SPECIES
Li 6.94 Li.upf
Al 26.98 Al.upf
Tc 98.00 Tc.upf
ATOMIC_POSITIONS angstrom
Li 0.000 0.000 0.000
Li 1.553 2.133 0.000
Al 0.000 0.000 4.375
Al 1.553 2.133 4.375
Tc 0.000 2.133 2.278
Tc 0.000 2.133 6.471
Tc 1.553 0.000 2.278
Tc 1.553 0.000 6.471
CELL_PARAMETERS angstrom
3.107 0.000 0.000
0.000 4.266 0.000
0.000 0.000 8.750
! **D(E_F)**: 3.3 states/eV/f.u.
! **Formation enthalpy at 0 K**: 0.06 eV/atom
! **DFT total energy**: -6.538 eV/atom
! **Volume**: 115.96 Å³/cell
! **Crystal system**: orthorhombic

! LiAlTc2 PBE optimized geometry; values from VASP
&SYSTEM
  ibrav = 0, nat = 16, ntyp = 3
/
ATOMIC_SPECIES
Li 6.94 Li.upf
Al 26.98 Al.upf
Tc 98.00 Tc.upf
ATOMIC_POSITIONS angstrom
Li 0.000 0.000 0.000
Li 0.000 3.011 3.026
Li 3.006 0.000 3.026
Li 3.006 3.011 0.000
Al 1.503 1.505 4.540
Al 1.503 4.516 1.513
Al 4.508 1.505 1.513
Al 4.508 4.516 4.540
Tc 0.000 0.000 3.026
Tc 0.000 3.011 0.000
Tc 1.503 1.505 1.513
Tc 1.503 4.516 4.540
Tc 3.006 0.000 0.000
Tc 3.006 3.011 3.026
Tc 4.508 1.505 4.540
Tc 4.508 4.516 1.513
CELL_PARAMETERS angstrom
6.011 0.000 0.000
0.000 6.021 0.000
0.000 0.000 6.053
! **D(E_F)**: 1.1 states/eV/f.u.
! **Formation enthalpy at 0 K**: -0.24 eV/atom
! **DFT total energy**: -6.839 eV/atom
! **Volume**: 219.08 Å³/cell
! **Crystal system**: orthorhombic

! LiAlTc2 PBE optimized geometry; values from VASP
&SYSTEM
  ibrav = 0, nat = 8, ntyp = 3
/
ATOMIC_SPECIES
Li 6.94 Li.upf
Al 26.98 Al.upf
Tc 98.00 Tc.upf
ATOMIC_POSITIONS angstrom
Li 0.000 0.000 0.000
Li 2.598 4.297 0.000
Al 0.000 4.297 0.000
Al 2.598 0.000 0.000
Tc 0.953 2.148 1.261
Tc 0.953 6.445 1.261
Tc 3.551 2.148 1.261
Tc 3.551 6.445 1.261
CELL_PARAMETERS angstrom
5.195 0.000 0.000
0.000 8.594 0.000
-0.691 0.000 2.523
! **D(E_F)**: 2.9 states/eV/f.u.
! **Formation enthalpy at 0 K**: 0.01 eV/atom
! **DFT total energy**: -6.587 eV/atom
! **Volume**: 112.62 Å³/cell
! **Crystal system**: monoclinic

! LiAlTc2 PBE optimized geometry; values from VASP
&SYSTEM
  ibrav = 0, nat = 4, ntyp = 3
/
ATOMIC_SPECIES
Li 6.94 Li.upf
Al 26.98 Al.upf
Tc 98.00 Tc.upf
ATOMIC_POSITIONS angstrom
Li 0.000 0.000 0.000
Al -0.121 2.153 3.712
Tc 1.030 0.000 2.412
Tc 1.633 2.153 1.210
CELL_PARAMETERS angstrom
2.653 0.000 0.000
0.000 4.306 0.000
-0.645 0.000 4.938
! **D(E_F)**: 2.2 states/eV/f.u.
! **Formation enthalpy at 0 K**: -0.04 eV/atom
! **DFT total energy**: -6.635 eV/atom
! **Volume**: 56.41 Å³/cell
! **Crystal system**: monoclinic

! LiAl2Tc2 PBE optimized geometry; values from VASP
&SYSTEM
  ibrav = 0, nat = 10, ntyp = 3
/
ATOMIC_SPECIES
Li 6.94 Li.upf
Al 26.98 Al.upf
Tc 98.00 Tc.upf
ATOMIC_POSITIONS angstrom
Li 0.000 0.000 0.000
Li 3.294 3.294 0.000
Al 0.894 2.400 0.000
Al 2.400 5.694 0.000
Al 4.188 0.894 0.000
Al 5.694 4.188 0.000
Tc 1.086 4.380 1.672
Tc 2.208 1.086 1.672
Tc 4.380 5.502 1.672
Tc 5.502 2.208 1.672
CELL_PARAMETERS angstrom
6.588 0.000 0.000
0.000 6.588 0.000
0.000 0.000 3.344
! **D(E_F)**: 4.5 states/eV/f.u.
! **Formation enthalpy at 0 K**: -0.11 eV/atom
! **DFT total energy**: -6.139 eV/atom
! **Volume**: 145.15 Å³/cell
! **Crystal system**: tetragonal
! **Excess energy over the best structure of this formula in the dataset**: 0.0000 eV per atom

! LiAl2Tc2 PBE optimized geometry; values from VASP
&SYSTEM
  ibrav = 0, nat = 10, ntyp = 3
/
ATOMIC_SPECIES
Li 6.94 Li.upf
Al 26.98 Al.upf
Tc 98.00 Tc.upf
ATOMIC_POSITIONS angstrom
Li 0.000 0.000 0.000
Li 3.827 3.827 0.000
Al 1.407 2.420 1.383
Al 2.420 6.247 1.383
Al 5.233 1.407 1.383
Al 6.247 5.233 1.383
Tc 0.845 4.671 0.000
Tc 2.982 0.845 0.000
Tc 4.671 6.809 0.000
Tc 6.809 2.982 0.000
CELL_PARAMETERS angstrom
7.653 0.000 0.000
0.000 7.653 0.000
0.000 0.000 2.767
! **D(E_F)**: 3.6 states/eV/f.u.
! **Formation enthalpy at 0 K**: -0.09 eV/atom
! **DFT total energy**: -6.113 eV/atom
! **Volume**: 162.05 Å³/cell
! **Crystal system**: tetragonal
! **Excess energy over the best structure of this formula in the dataset**: 0.0259 eV per atom